<a>
Entry from Alexandria: a relaxed structure of Ba2LiRu (PBE-GGA).

abc: 8.256 3.712 9.702
angles: 90.00 96.74 90.00
Space group C2/m (No. 12)
Unique sites:
Ba: 0.230 0.000 0.189
Li: 0.000 0.000 0.500
Ru: 0.000 0.500 0.000

Output
- Volume: 36.91 A^3/atom

<b>
Entry from Alexandria: a relaxed structure of Ba2LiRu (PBE-GGA).

abc: 4.5104 4.5104 24.1145
angles: 90.00 90.00 120.00
Space group R3m (No. 160, hexagonal axes)
Unique sites:
Ba: 0.0000 0.0000 0.0000
Ba: 0.0000 0.0000 0.1647
Li: 0.0000 0.0000 0.4157
Ru: 0.0000 0.0000 0.7492

Output
- Volume: 35.40 A^3/atom

Which of them is the most stable? Correct choice: <b>.

<a>
Entry from Alexandria: a relaxed structure of Ba2LiRu (PBE-GGA).

abc: 4.635 4.576 12.204
angles: 90.00 90.00 90.00
Space group Amm2 (No. 38)
Unique sites:
Ba: 0.000 0.000 0.000
Ba: 0.500 0.000 0.272
Li: 0.500 0.000 0.586
Ru: 0.000 0.000 0.677

Output
- Volume: 32.36 A^3/atom

<b>
Entry from Alexandria: a relaxed structure of Ba2LiRu (PBE-GGA).

abc: 5.291 5.330 9.539
angles: 90.00 90.00 90.00
Space group Cmmm (No. 65)
Unique sites:
Ba: 0.000 0.000 0.195
Li: 0.000 0.500 0.500
Ru: 0.000 0.500 0.000

Output
- Volume: 33.63 A^3/atom

Which of them is the most stable? Correct choice: <a>.

<a>
Entry from Alexandria: a relaxed structure of Ba2LiRu (PBE-GGA).

abc: 7.625 7.625 7.625
angles: 90.00 90.00 90.00
Space group F-43m (No. 216)
Unique sites:
Ba: 0.000 0.000 0.000
Ba: 0.250 0.250 0.250
Li: 0.000 0.000 0.500
Ru: 0.250 0.250 0.750

Output
- Volume: 27.70 A^3/atom

<b>
Entry from Alexandria: a relaxed structure of Ba2LiRu (PBE-GGA).

abc: 4.866 4.866 9.660
angles: 90.00 90.00 90.00
Space group I-4m2 (No. 119)
Unique sites:
Ba: 0.000 0.000 0.000
Ba: 0.000 0.500 0.250
Li: 0.000 0.500 0.750
Ru: 0.000 0.000 0.500

Output
- Volume: 28.59 A^3/atom

Which of them is the most stable? Correct choice: <b>.

<a>
Entry from Alexandria: a relaxed structure of Ba2LiRu (PBE-GGA).

abc: 3.706 5.598 12.563
angles: 90.00 90.00 90.00
Space group Imm2 (No. 44)
Unique sites:
Ba: 0.000 0.000 0.000
Ba: 0.000 0.500 0.195
Li: 0.000 0.000 0.347
Ru: 0.000 0.500 0.689

Output
- Volume: 32.58 A^3/atom

<b>
Entry from Alexandria: a relaxed structure of Ba2LiRu (PBE-GGA).

abc: 11.310 11.310 5.023
angles: 90.00 90.00 90.00
Space group I-42d (No. 122)
Unique sites:
Ba: 0.046 0.250 0.125
Li: 0.000 0.000 0.500
Ru: 0.000 0.000 0.000

Output
- Volume: 40.15 A^3/atom

<c>
Entry from Alexandria: a relaxed structure of Ba2LiRu (PBE-GGA).

abc: 4.0541 4.0541 31.1775
angles: 90.00 90.00 120.00
Space group R-3m (No. 166, hexagonal axes)
Unique sites:
Ba: 0.0000 0.0000 0.2312
Li: 0.0000 0.0000 0.0000
Ru: 0.0000 0.0000 0.5000

Output
- Volume: 36.98 A^3/atom

Which of them is the most stable? Correct choice: <a>.

<a>
Entry from Alexandria: a relaxed structure of Ba2LiRu (PBE-GGA).

abc: 7.793 7.793 7.793
angles: 90.00 90.00 90.00
Space group Fm-3m (No. 225)
Unique sites:
Ba: 0.250 0.250 0.250
Li: 0.000 0.000 0.000
Ru: 0.000 0.000 0.500

Output
- Volume: 29.59 A^3/atom

<b>
Entry from Alexandria: a relaxed structure of Ba2LiRu (PBE-GGA).

abc: 3.786 3.786 8.707
angles: 90.00 90.00 90.00
Space group P4mm (No. 99)
Unique sites:
Ba: 0.000 0.000 0.000
Ba: 0.500 0.500 0.444
Li: 0.000 0.000 0.676
Ru: 0.500 0.500 0.763

Output
- Volume: 31.21 A^3/atom

Which of them is the most stable? Correct choice: <b>.

<a>
Entry from Alexandria: a relaxed structure of BaLiRu (PBE-GGA).

abc: 4.449 4.902 7.500
angles: 90.00 90.00 90.00
Space group Pmm2 (No. 25)
Unique sites:
Ba: 0.000 0.000 0.000
Ba: 0.500 0.500 0.370
Li: 0.000 0.500 0.667
Li: 0.500 0.500 0.830
Ru: 0.000 0.000 0.549
Ru: 0.500 0.000 0.675

Output
- Volume: 27.26 A^3/atom

<b>
Entry from Alexandria: a relaxed structure of BaLiRu (PBE-GGA).

abc: 6.869 6.869 6.869
angles: 90.00 90.00 90.00
Space group F-43m (No. 216)
Unique sites:
Ba: 0.000 0.000 0.000
Li: 0.000 0.000 0.500
Ru: 0.250 0.250 0.250

Output
- Volume: 27.01 A^3/atom

Which of them is the most stable? Correct choice: <a>.